Record 1
Compound: Zr3TlSn
Source: Alexandria
Functional: PBE-GGA
Structure: relaxed

## Properties
Total magnetic moment ... 0.000 Bohr magnetons per cell
Polymorph energy (0 for the lowest one) ... 20.59 kcal/mol of atoms
Calculated density ... 6.67 g/cm3
DOS(E_F) ... 7.68 states/eV/cell
E_form ... 0.6966 eV/atom

```
Zr3TlSn
1.0
5.297 0.000 0.000
0.000 5.297 0.000
0.000 0.000 5.297
Zr Tl Sn
3 1 1
Direct
0.000 0.000 0.500
0.000 0.500 0.000
0.500 0.000 0.000
0.500 0.500 0.500
0.000 0.000 0.000
```

***

Record 2
Compound: ZrTl2Sn2
Source: Alexandria
Functional: PBE-GGA
Structure: relaxed

## Properties
Total magnetic moment ... 0.000 Bohr magnetons per cell
Calculated density ... 8.99 g/cm3
DOS(E_F) ... 7.01 states/eV/cell
E_form ... 0.1674 eV/atom

```
ZrTl2Sn2
1.0
7.796 0.000 0.000
0.000 7.796 0.000
0.000 0.000 4.484
Zr Tl Sn
2 4 4
Direct
0.000 0.000 0.000
0.500 0.500 0.000
0.173 0.327 0.500
0.327 0.827 0.500
0.673 0.173 0.500
0.827 0.673 0.500
0.136 0.636 0.000
0.364 0.136 0.000
0.636 0.864 0.000
0.864 0.364 0.000
```

***

Record 3
Compound: Zr8Tl2Sn
Source: Alexandria
Functional: PBE-GGA
Structure: relaxed

## Properties
Total magnetic moment ... 0.000 Bohr magnetons per cell
Calculated density ... 7.99 g/cm3
DOS(E_F) ... 10.62 states/eV/cell
E_form ... 0.0068 eV/atom

```
Zr8Tl2Sn
1.0
3.960 -6.974 0.000
3.960 6.974 0.000
-2.408 0.000 4.732
Zr Tl Sn
8 2 1
Direct
0.096 0.314 0.663
0.215 0.785 0.000
0.314 0.096 0.663
0.411 0.411 0.210
0.589 0.589 0.790
0.686 0.904 0.337
0.785 0.215 0.000
0.904 0.686 0.337
0.305 0.695 0.500
0.695 0.305 0.500
0.000 0.000 0.000
```

***

Record 4
Compound: Zr6TlSn
Source: Alexandria
Functional: PBE-GGA
Structure: relaxed

## Properties
Total magnetic moment ... 0.000 Bohr magnetons per cell
Polymorph energy (0 for the lowest one) ... 0.10 kcal/mol of atoms
Calculated density ... 8.02 g/cm3
DOS(E_F) ... 3.91 states/eV/cell
E_form ... -0.2327 eV/atom

```
Zr6TlSn
1.0
6.310 0.000 0.000
-3.155 5.464 0.000
0.000 0.000 5.227
Zr Tl Sn
6 1 1
Direct
0.000 0.500 0.000
0.166 0.331 0.500
0.166 0.834 0.500
0.500 0.000 0.000
0.500 0.500 0.000
0.669 0.834 0.500
0.667 0.333 0.500
0.000 0.000 0.000
```